{"formula": "Th8GeTe4S3", "functional": "PBE", "state": "relaxed", "cell": [[8.363, 0.000, 0.000], [0.000, 8.831, 0.325], [-4.181, -4.178, 5.915]], "species": ["Th", "Th", "Th", "Th", "Th", "Th", "Th", "Th", "S", "S", "S", "Ge", "Te", "Te", "Te", "Te"], "fractional_positions": [[0.758, 0.288, 0.030], [0.264, 0.292, 0.528], [0.242, 0.712, 0.484], [0.728, 0.712, 0.970], [0.272, 0.288, 0.030], [0.758, 0.288, 0.516], [0.242, 0.712, 0.970], [0.736, 0.708, 0.472], [0.500, 0.500, 0.500], [0.500, 0.500, 0.000], [0.000, 0.500, 0.500], [0.000, 0.500, 0.000], [0.000, 0.000, 0.500], [0.500, 0.000, 0.000], [0.500, 0.000, 0.500], [0.000, 0.000, 0.000]], "m_tot_mub_per_atom": 0.00, "formation_energy_uncorrected_ev_per_atom": -1.33, "space_group": "R-3m (166)", "crystal_system": "trigonal"}

{"formula": "Th6GeTe3S2", "functional": "PBE", "state": "relaxed", "cell": [[7.272, -0.002, 0.000], [-3.636, 6.298, 0.000], [-1.213, -2.101, 7.395]], "species": ["Th", "Th", "Th", "Th", "Th", "Th", "S", "S", "Ge", "Te", "Te", "Te"], "fractional_positions": [[0.585, 0.929, 0.787], [0.929, 0.585, 0.787], [0.275, 0.275, 0.792], [0.415, 0.071, 0.213], [0.071, 0.415, 0.213], [0.725, 0.725, 0.208], [0.332, 0.668, 0.000], [0.668, 0.332, 0.000], [0.000, 0.000, 0.000], [0.500, 0.500, 0.500], [0.160, 0.840, 0.500], [0.840, 0.160, 0.500]], "m_tot_mub_per_atom": 0.00, "formation_energy_uncorrected_ev_per_atom": -1.30, "space_group": "C2/m (12)", "crystal_system": "monoclinic"}

{"formula": "Th6Ge2TeS3", "functional": "PBE", "state": "relaxed", "cell": [[-3.125, -1.359, -2.502], [-2.388, -5.437, 5.935], [-3.351, 8.062, 3.378]], "species": ["Te", "S", "S", "S", "Th", "Th", "Th", "Th", "Th", "Th", "Ge", "Ge"], "fractional_positions": [[0.500, 0.000, 0.000], [0.163, 0.832, 0.327], [0.837, 0.168, 0.673], [0.500, 0.500, 0.000], [0.665, 0.587, 0.330], [0.677, 0.083, 0.355], [0.335, 0.413, 0.670], [0.323, 0.917, 0.645], [0.001, 0.722, 0.002], [0.999, 0.278, 0.998], [0.834, 0.670, 0.668], [0.166, 0.330, 0.332]], "m_tot_mub_per_atom": 0.00, "formation_energy_uncorrected_ev_per_atom": -1.36, "space_group": "C2/m (12)", "crystal_system": "monoclinic"}

{"formula": "TlGeTeS4", "functional": "PBE", "state": "relaxed", "cell": [[6.773, 0.000, 0.019], [0.000, 6.901, 0.000], [-2.630, 0.000, 8.343]], "species": ["Tl", "Tl", "S", "S", "S", "S", "S", "S", "S", "S", "Ge", "Ge", "Te", "Te"], "fractional_positions": [[0.758, 0.750, 0.938], [0.242, 0.250, 0.062], [0.571, 0.250, 0.435], [0.994, 0.509, 0.737], [0.006, 0.491, 0.263], [0.006, 0.009, 0.263], [0.558, 0.250, 0.824], [0.442, 0.750, 0.176], [0.429, 0.750, 0.565], [0.994, 0.991, 0.737], [0.199, 0.750, 0.308], [0.801, 0.250, 0.692], [0.711, 0.750, 0.445], [0.289, 0.250, 0.555]], "m_tot_mub_per_atom": 0.00, "formation_energy_uncorrected_ev_per_atom": -0.15, "space_group": "P2_1/m (11)", "crystal_system": "monoclinic"}

{"formula": "Tl2GeTeS4", "functional": "PBE", "state": "relaxed", "cell": [[8.249, 0.009, -0.017], [0.003, 8.249, -0.017], [-4.129, -4.132, 5.854]], "species": ["Tl", "Tl", "Tl", "Tl", "Te", "Te", "S", "S", "S", "S", "S", "S", "S", "S", "Ge", "Ge"], "fractional_positions": [[0.500, 0.000, 0.000], [0.000, 0.000, 0.500], [0.500, 0.000, 0.500], [0.500, 0.500, 0.000], [0.000, 0.500, 0.000], [0.000, 0.500, 0.500], [0.790, 0.264, 0.027], [0.767, 0.733, 0.529], [0.233, 0.267, 0.471], [0.767, 0.733, 0.971], [0.236, 0.710, 0.473], [0.210, 0.736, 0.973], [0.233, 0.267, 0.029], [0.764, 0.290, 0.527], [0.500, 0.500, 0.500], [0.000, 0.000, 0.000]], "m_tot_mub_per_atom": 0.00, "formation_energy_uncorrected_ev_per_atom": -0.14, "space_group": "Imma (74)", "crystal_system": "orthorhombic"}

{"formula": "Tm6Ge2Te3S", "functional": "PBE", "state": "relaxed", "cell": [[-0.429, -2.951, -2.872], [2.306, -5.825, 5.641], [-8.901, 2.061, 2.197]], "species": ["Te", "Te", "Te", "Ge", "Ge", "Tm", "Tm", "Tm", "Tm", "Tm", "Tm", "S"], "fractional_positions": [[0.500, 0.500, 0.000], [0.835, 0.167, 0.670], [0.165, 0.833, 0.330], [0.834, 0.671, 0.668], [0.166, 0.329, 0.332], [0.009, 0.229, 0.018], [0.991, 0.771, 0.982], [0.327, 0.437, 0.653], [0.673, 0.563, 0.347], [0.659, 0.101, 0.319], [0.341, 0.899, 0.681], [0.500, 0.000, 0.000]], "m_tot_mub_per_atom": 0.00, "formation_energy_uncorrected_ev_per_atom": -1.30, "space_group": "C2/m (12)", "crystal_system": "monoclinic"}

{"formula": "Tm4GeTeS2", "functional": "PBE", "state": "relaxed", "cell": [[-2.725, -1.951, -2.228], [4.888, -4.451, -2.080], [0.255, -5.475, 4.483]], "species": ["Ge", "Te", "Tm", "Tm", "Tm", "Tm", "S", "S"], "fractional_positions": [[0.500, 0.500, 0.000], [0.000, 0.500, 0.500], [0.000, 0.243, 0.235], [0.500, 0.773, 0.220], [0.000, 0.757, 0.765], [0.500, 0.227, 0.780], [0.500, 0.000, 0.500], [0.000, 0.000, 0.000]], "m_tot_mub_per_atom": 0.00, "formation_energy_uncorrected_ev_per_atom": -1.50, "space_group": "P2/m (10)", "crystal_system": "monoclinic"}

{"formula": "Tm6GeTe3S2", "functional": "PBE", "state": "relaxed", "cell": [[-1.296, 4.244, -5.453], [1.393, -6.802, -1.101], [-6.814, -0.616, 2.647]], "species": ["Tm", "Tm", "Tm", "Tm", "Tm", "Tm", "S", "S", "Ge", "Te", "Te", "Te"], "fractional_positions": [[0.069, 0.405, 0.209], [0.931, 0.595, 0.791], [0.734, 0.734, 0.208], [0.405, 0.069, 0.209], [0.595, 0.931, 0.791], [0.266, 0.266, 0.792], [0.667, 0.333, 0.000], [0.333, 0.667, 0.000], [0.000, 0.000, 0.000], [0.834, 0.166, 0.500], [0.500, 0.500, 0.500], [0.166, 0.834, 0.500]], "m_tot_mub_per_atom": 0.00, "formation_energy_uncorrected_ev_per_atom": -1.45, "space_group": "C2/m (12)", "crystal_system": "monoclinic"}

{"formula": "Tm8GeTe4S3", "functional": "PBE", "state": "relaxed", "cell": [[8.104, 0.000, 0.000], [0.000, 8.347, 0.167], [-4.052, -4.048, 5.732]], "species": ["Te", "Te", "Te", "Te", "Tm", "Tm", "Tm", "Tm", "Tm", "Tm", "Tm", "Tm", "Ge", "S", "S", "S"], "fractional_positions": [[0.000, 0.000, 0.000], [0.500, 0.000, 0.500], [0.000, 0.000, 0.500], [0.500, 0.000, 0.000], [0.734, 0.703, 0.469], [0.763, 0.292, 0.525], [0.266, 0.292, 0.029], [0.763, 0.292, 0.029], [0.266, 0.297, 0.531], [0.734, 0.708, 0.971], [0.237, 0.708, 0.971], [0.237, 0.708, 0.475], [0.000, 0.500, 0.000], [0.500, 0.500, 0.500], [0.500, 0.500, 0.000], [0.000, 0.500, 0.500]], "m_tot_mub_per_atom": 0.00, "formation_energy_uncorrected_ev_per_atom": -1.48, "space_group": "R-3m (166)", "crystal_system": "trigonal"}

{"formula": "Tm6Ge2TeS3", "functional": "PBE", "state": "relaxed", "cell": [[4.026, 0.000, 0.000], [0.000, 8.061, 0.368], [-2.013, -2.243, 8.429]], "species": ["S", "S", "S", "Ge", "Ge", "Tm", "Tm", "Tm", "Tm", "Tm", "Tm", "Te"], "fractional_positions": [[0.500, 0.500, 0.000], [0.837, 0.165, 0.674], [0.163, 0.835, 0.326], [0.833, 0.666, 0.666], [0.167, 0.334, 0.334], [0.332, 0.418, 0.665], [0.324, 0.903, 0.649], [0.003, 0.278, 0.007], [0.668, 0.582, 0.335], [0.676, 0.097, 0.351], [0.997, 0.722, 0.993], [0.500, 0.000, 0.000]], "m_tot_mub_per_atom": 0.00, "formation_energy_uncorrected_ev_per_atom": -1.48, "space_group": "C2/m (12)", "crystal_system": "monoclinic"}

{"formula": "Tm8Ge3Te4S", "functional": "PBE", "state": "relaxed", "cell": [[8.299, 0.000, 0.000], [0.000, 8.451, 0.101], [-4.150, -4.145, 5.872]], "species": ["Te", "Te", "Te", "Te", "Ge", "Ge", "Ge", "Tm", "Tm", "Tm", "Tm", "Tm", "Tm", "Tm", "Tm", "S"], "fractional_positions": [[0.000, 0.000, 0.000], [0.000, 0.000, 0.500], [0.500, 0.000, 0.500], [0.500, 0.000, 0.000], [0.000, 0.500, 0.500], [0.500, 0.500, 0.500], [0.500, 0.500, 0.000], [0.740, 0.719, 0.479], [0.240, 0.716, 0.481], [0.265, 0.284, 0.024], [0.260, 0.281, 0.521], [0.760, 0.284, 0.024], [0.735, 0.716, 0.976], [0.760, 0.284, 0.519], [0.240, 0.716, 0.976], [0.000, 0.500, 0.000]], "m_tot_mub_per_atom": 0.00, "formation_energy_uncorrected_ev_per_atom": -1.27, "space_group": "R-3m (166)", "crystal_system": "trigonal"}

{"formula": "Tm8GeTe3S3", "functional": "PBE", "state": "relaxed", "cell": [[-3.000, -7.338, 1.000], [6.711, 2.122, 3.781], [-7.177, 3.269, 2.461]], "species": ["S", "S", "S", "Te", "Te", "Te", "Tm", "Tm", "Tm", "Tm", "Tm", "Tm", "Tm", "Tm", "Ge"], "fractional_positions": [[0.500, 0.000, 0.500], [0.500, 0.500, 0.500], [0.000, 0.500, 0.500], [0.000, 0.000, 0.000], [0.500, 0.500, 0.000], [0.000, 0.500, 0.000], [0.244, 0.972, 0.716], [0.756, 0.028, 0.284], [0.266, 0.533, 0.299], [0.244, 0.488, 0.716], [0.734, 0.467, 0.701], [0.729, 0.972, 0.716], [0.756, 0.512, 0.284], [0.271, 0.028, 0.284], [0.000, 0.000, 0.500]], "m_tot_mub_per_atom": 0.00, "formation_energy_uncorrected_ev_per_atom": -1.37, "space_group": "R-3m (166)", "crystal_system": "trigonal"}